1.
VASP calculation (PBE) on a relaxed structure of Pa4GaRu.

DFT formation energy	-218	meV per atom
M_tot	0.00	Bohr magnetons per cell

```
Pa4GaRu
1.0
4.1150 -6.0412 0.0000
4.1150 6.0412 0.0000
-2.0427 0.0000 5.4237
Pa Ga Ru
8 2 2
Cartesian
1.2493 3.7717 5.0693
1.2311 1.3120 3.5848
3.9166 3.7717 3.0663
2.2525 -1.3120 0.8730
3.9347 1.3120 4.5507
2.2706 -3.7717 2.3574
4.9561 -1.3120 1.8389
4.9379 -3.7717 0.3544
3.6043 1.3297 1.3559
2.5829 -1.3297 4.0678
3.6043 6.0024 1.3559
2.5829 -6.0024 4.0678
```


2.
VASP calculation (PBE) on a relaxed structure of PaGa3Ru4.

DFT formation energy	-487	meV per atom
M_tot	0.00	Bohr magnetons per cell

```
PaGa3Ru4
1.0
4.4100 0.0000 0.0000
0.0000 4.4100 0.0000
0.0000 0.0000 6.3725
Pa Ga Ru
1 3 4
Cartesian
0.0000 0.0000 0.0000
0.0000 0.0000 3.1863
2.2050 2.2050 0.0000
2.2050 2.2050 3.1863
0.0000 2.2050 1.7046
0.0000 2.2050 4.6679
2.2050 0.0000 1.7046
2.2050 0.0000 4.6679
```


3.
VASP calculation (PBE) on a relaxed structure of Pa2GaRu.

DFT formation energy	-190	meV per atom
polymorph energy (0 for the lowest one)	0.1571	eV/atom
M_tot	0.00	Bohr magnetons per cell

```
Pa2GaRu
1.0
2.3018 1.3289 4.7045
-2.3018 1.3289 4.7045
0.0000 -2.6579 4.7045
Pa Ga Ru
2 1 1
Cartesian
0.0000 0.0000 3.4444
0.0000 0.0000 10.6690
0.0000 0.0000 0.0000
0.0000 0.0000 7.0567
```


4.
VASP calculation (PBE) on a relaxed structure of Pa2GaRu2.

DFT formation energy	-583	meV per atom
M_tot	0.00	Bohr magnetons per cell

```
Pa2GaRu2
1.0
-2.2216 2.9248 3.7729
2.2216 -2.9248 3.7729
2.2216 2.9248 -3.7729
Pa Ga Ru
2 1 2
Cartesian
0.0000 0.0000 1.4325
0.0000 0.0000 6.1133
0.0000 2.9248 0.0000
2.2216 1.4748 0.0000
0.0000 1.4500 3.7729
```


5.
VASP calculation (PBE) on a relaxed structure of Pa2GaRu.

DFT formation energy	-288	meV per atom
polymorph energy (0 for the lowest one)	0.0592	eV/atom
M_tot	0.00	Bohr magnetons per cell

```
Pa2GaRu
1.0
3.7045 0.0000 0.0000
0.0000 3.7045 0.0000
0.0000 0.0000 6.0448
Pa Ga Ru
2 1 1
Cartesian
0.0000 0.0000 1.4815
0.0000 0.0000 4.5633
1.8522 1.8522 3.0224
1.8522 1.8522 0.0000
```


6.
VASP calculation (PBE) on a relaxed structure of Pa4Ga6Ru7.

DFT formation energy	-592	meV per atom
M_tot	0.00	Bohr magnetons per cell

```
Pa4Ga6Ru7
1.0
-4.1930 4.1930 4.1930
4.1930 -4.1930 4.1930
4.1930 4.1930 -4.1930
Pa Ga Ru
4 6 7
Cartesian
2.0965 2.0965 -2.0965
2.0965 -2.0965 2.0965
-2.0965 2.0965 2.0965
2.0965 2.0965 2.0965
2.5932 0.0000 0.0000
5.7927 0.0000 0.0000
0.0000 2.5932 0.0000
0.0000 0.0000 2.5932
0.0000 5.7927 0.0000
0.0000 0.0000 5.7927
0.0000 0.0000 0.0000
4.1930 2.0965 0.0000
4.1930 0.0000 2.0965
2.0965 4.1930 0.0000
2.0965 0.0000 4.1930
0.0000 4.1930 2.0965
0.0000 2.0965 4.1930
```


7.
VASP calculation (PBE) on a relaxed structure of PaGa2Ru2.

DFT formation energy	-364	meV per atom
M_tot	0.00	Bohr magnetons per cell

```
PaGa2Ru2
1.0
0.0000 4.5578 6.8333
2.9991 0.0000 6.8333
2.9991 4.5578 0.0000
Pa Ga Ru
2 4 4
Cartesian
0.7498 1.1395 1.7083
5.2484 7.9762 11.9582
2.2493 3.4184 3.7243
2.2493 3.4184 6.5256
3.7488 5.6973 7.1410
3.7488 5.6973 9.9422
2.2493 1.2397 5.1250
3.7488 3.5186 8.5416
2.2493 5.5971 5.1250
3.7488 7.8760 8.5416
```


8.
VASP calculation (PBE) on a relaxed structure of Pa4Ga16Ru3.

DFT formation energy	-447	meV per atom
M_tot	0.00	Bohr magnetons per cell

```
Pa4Ga16Ru3
1.0
6.1830 0.0000 0.0000
0.0000 6.1830 0.0000
0.0000 0.0000 11.1316
Pa Ga Ru
4 16 3
Cartesian
0.0000 3.0915 2.1625
0.0000 3.0915 8.9691
3.0915 0.0000 2.1625
3.0915 0.0000 8.9691
0.0000 0.0000 2.2068
0.0000 0.0000 8.9248
1.3192 1.3192 0.0000
1.3192 4.8638 0.0000
1.5471 1.5471 4.2434
1.5471 1.5471 6.8881
1.5471 4.6359 4.2434
1.5471 4.6359 6.8881
3.0915 3.0915 2.5082
3.0915 3.0915 8.6234
4.6359 1.5471 4.2434
4.6359 1.5471 6.8881
4.6359 4.6359 4.2434
4.6359 4.6359 6.8881
4.8638 1.3192 0.0000
4.8638 4.8638 0.0000
0.0000 3.0915 5.5658
3.0915 0.0000 5.5658
3.0915 3.0915 0.0000
```


9.
VASP calculation (PBE) on a relaxed structure of Pa3Ga2Ru6.

DFT formation energy	-395	meV per atom
M_tot	0.00	Bohr magnetons per cell

```
Pa3Ga2Ru6
1.0
-4.6538 4.6538 4.6538
4.6538 -4.6538 4.6538
4.6538 4.6538 -4.6538
Pa Ga Ru
6 4 12
Cartesian
2.7006 0.0000 0.0000
6.6069 0.0000 0.0000
0.0000 2.7006 0.0000
0.0000 0.0000 2.7006
0.0000 6.6069 0.0000
0.0000 0.0000 6.6069
2.3269 2.3269 -2.3269
2.3269 -2.3269 2.3269
-2.3269 2.3269 2.3269
2.3269 2.3269 2.3269
4.6538 1.3868 -1.3868
4.6538 -1.3868 1.3868
4.6538 1.3868 1.3868
1.3868 4.6538 -1.3868
3.2669 3.2669 0.0000
1.3868 -1.3868 4.6538
3.2669 0.0000 3.2669
-1.3868 4.6538 1.3868
1.3868 4.6538 1.3868
-1.3868 1.3868 4.6538
1.3868 1.3868 4.6538
0.0000 3.2669 3.2669
```


10.
VASP calculation (PBE) on a relaxed structure of PaGa2Ru.

DFT formation energy	-304	meV per atom
polymorph energy (0 for the lowest one)	0.2246	eV/atom
M_tot	0.98	Bohr magnetons per cell

```
PaGa2Ru
1.0
3.1565 0.0000 0.0000
0.0000 3.1565 0.0000
0.0000 0.0000 7.0531
Pa Ga Ru
1 2 1
Cartesian
0.0000 0.0000 0.0000
1.5783 1.5783 2.1443
1.5783 1.5783 4.9089
0.0000 0.0000 3.5266
```


11.
VASP calculation (PBE) on a relaxed structure of Pa2Ga6Ru.

DFT formation energy	-210	meV per atom
M_tot	0.00	Bohr magnetons per cell

```
Pa2Ga6Ru
1.0
4.4756 -4.2042 0.0000
4.4756 4.2042 0.0000
-2.4079 0.0000 4.5423
Pa Ga Ru
2 6 1
Cartesian
0.8212 0.0000 1.2199
5.7221 0.0000 3.3224
2.6084 2.5493 1.1881
3.9348 2.5493 3.3542
4.4756 1.2473 0.0000
4.4756 -1.2473 0.0000
2.6084 -2.5493 1.1881
3.9348 -2.5493 3.3542
3.2716 0.0000 2.2712
```


12.
VASP calculation (PBE) on a relaxed structure of PaGa2Ru.

DFT formation energy	-294	meV per atom
polymorph energy (0 for the lowest one)	0.2346	eV/atom
M_tot	0.29	Bohr magnetons per cell

```
PaGa2Ru
1.0
0.0000 3.2941 3.2941
3.2941 0.0000 3.2941
3.2941 3.2941 0.0000
Pa Ga Ru
1 2 1
Cartesian
0.0000 0.0000 0.0000
1.6471 1.6471 1.6471
4.9412 4.9412 4.9412
3.2941 3.2941 3.2941
```


no.,uncorrected energy (eV per atom)
1,-8.5986
2,-7.4470
3,-8.0135
4,-8.6974
5,-8.1113
6,-7.7138
7,-7.1845
8,-5.4142
9,-8.5950
10,-6.5106
11,-5.3691
12,-6.5007